Record 1
The following is a DFT calculation (PBE-GGA) of an optimized crystal structure of K2BeBrN.

The calculation puts the density of states at the Fermi level at 0.7205 states/eV per atom. The value obtained for the final energy is -2.24 eV/atom. The value obtained for the uncorrected formation energy is 4.73 eV per formula unit.

Geometry as POSCAR:
```
K2BeBrN
1.0
6.1394 0.0000 0.0000
0.0000 6.1394 0.0000
0.0000 0.0000 4.4737
K Be Br N
2 1 1 1
direct
0.0000 0.5000 0.0000 K
0.5000 0.0000 0.0000 K
0.0000 0.0000 0.5000 Be
0.5000 0.5000 0.0000 Br
0.5000 0.5000 0.5000 N
```

=====

Record 2
The following is a DFT calculation (PBE-GGA) of an optimized crystal structure of KNaBe2Br6.

The calculation puts the density of states at the Fermi level at 0.0000 states/eV per atom. The value obtained for the final energy is -3.22 eV/atom. The value obtained for the uncorrected formation energy is -12.29 eV per formula unit.

Geometry as POSCAR:
```
KNaBe2Br6
1.0
6.3230 -6.7333 0.0000
6.3230 6.7333 0.0000
-3.0297 0.0000 8.1947
K Na Be Br
2 2 4 12
direct
0.1428 0.8572 0.7500 K
0.8572 0.1428 0.2500 K
0.4129 0.5871 0.2500 Na
0.5871 0.4129 0.7500 Na
0.0766 0.4180 0.7687 Be
0.4180 0.0766 0.2687 Be
0.5820 0.9234 0.7313 Be
0.9234 0.5820 0.2313 Be
0.0324 0.1942 0.6423 Br
0.0944 0.4447 0.2365 Br
0.1942 0.0324 0.1423 Br
0.2983 0.5222 0.8843 Br
0.4447 0.0944 0.7365 Br
0.4778 0.7017 0.6157 Br
0.5222 0.2983 0.3843 Br
0.5553 0.9056 0.2635 Br
0.7017 0.4778 0.1157 Br
0.8058 0.9676 0.8577 Br
0.9056 0.5553 0.7635 Br
0.9676 0.8058 0.3577 Br
```

=====

Record 3
The following is a DFT calculation (PBE-GGA) of an optimized crystal structure of KNpBe2Br8.

The calculation puts the density of states at the Fermi level at 0.3964 states/eV per atom. The value obtained for the final energy is -4.10 eV/atom. The value obtained for the uncorrected formation energy is -14.31 eV per formula unit.

Geometry as POSCAR:
```
KNpBe2Br8
1.0
3.3173 1.9153 10.2942
-3.3173 1.9153 10.2942
0.0000 -3.8305 10.2942
K Np Be Br
1 1 2 8
direct
0.0000 0.0000 0.0000 K
0.5000 0.5000 0.5000 Np
0.2496 0.2496 0.2496 Be
0.7504 0.7504 0.7504 Be
0.0882 0.7828 0.4560 Br
0.2172 0.5440 0.9118 Br
0.3178 0.3178 0.3178 Br
0.4560 0.0882 0.7828 Br
0.5440 0.9118 0.2172 Br
0.6822 0.6822 0.6822 Br
0.7828 0.4560 0.0882 Br
0.9118 0.2172 0.5440 Br
```

=====

Record 4
The following is a DFT calculation (PBE-GGA) of an optimized crystal structure of KBePbBr5.

The calculation puts the density of states at the Fermi level at 0.0000 states/eV per atom. The value obtained for the final energy is -3.26 eV/atom. The value obtained for the uncorrected formation energy is -9.15 eV per formula unit.

Geometry as POSCAR:
```
KBePbBr5
1.0
4.7811 -6.2148 0.0000
4.7811 6.2148 0.0000
-4.4822 0.0000 9.5993
K Be Pb Br
2 2 2 10
direct
0.1401 0.8599 0.7500 K
0.8599 0.1401 0.2500 K
0.1867 0.8133 0.2500 Be
0.8133 0.1867 0.7500 Be
0.5000 0.5000 0.0000 Pb
0.5000 0.5000 0.5000 Pb
0.0795 0.2437 0.9199 Br
0.1607 0.5909 0.3438 Br
0.2437 0.0795 0.4199 Br
0.3964 0.6036 0.7500 Br
0.4091 0.8393 0.1562 Br
0.5909 0.1607 0.8438 Br
0.6036 0.3964 0.2500 Br
0.7563 0.9205 0.5801 Br
0.8393 0.4091 0.6562 Br
0.9205 0.7563 0.0801 Br
```

=====

Record 5
The following is a DFT calculation (PBE-GGA) of an optimized crystal structure of KRbBeBr4.

The calculation puts the density of states at the Fermi level at 0.0000 states/eV per atom. The value obtained for the final energy is -3.26 eV/atom. The value obtained for the uncorrected formation energy is -10.35 eV per formula unit.

Geometry as POSCAR:
```
KRbBeBr4
1.0
7.0853 0.0000 0.0000
0.0000 7.3592 0.0000
-3.1574 0.0000 9.1527
K Rb Be Br
2 2 2 8
direct
0.2066 0.2500 0.0379 K
0.7934 0.7500 0.9621 K
0.3079 0.2500 0.5858 Rb
0.6921 0.7500 0.4142 Rb
0.1953 0.7500 0.7904 Be
0.8047 0.2500 0.2096 Be
0.0018 0.0100 0.2648 Br
0.0018 0.4900 0.2648 Br
0.3534 0.7500 0.0285 Br
0.4019 0.7500 0.6621 Br
0.5981 0.2500 0.3379 Br
0.6466 0.2500 0.9715 Br
0.9982 0.5100 0.7352 Br
0.9982 0.9900 0.7352 Br
```

=====

Record 6
The following is a DFT calculation (PBE-GGA) of an optimized crystal structure of KBeSnBr5.

The calculation puts the density of states at the Fermi level at 0.0000 states/eV per atom. The value obtained for the final energy is -3.24 eV/atom. The value obtained for the uncorrected formation energy is -8.70 eV per formula unit.

Geometry as POSCAR:
```
KBeSnBr5
1.0
4.7528 -6.1741 0.0000
4.7528 6.1741 0.0000
-4.4484 0.0000 9.4996
K Be Sn Br
2 2 2 10
direct
0.1431 0.8569 0.7500 K
0.8569 0.1431 0.2500 K
0.1860 0.8140 0.2500 Be
0.8140 0.1860 0.7500 Be
0.5000 0.5000 0.0000 Sn
0.5000 0.5000 0.5000 Sn
0.0841 0.2458 0.9203 Br
0.1633 0.5942 0.3486 Br
0.2458 0.0841 0.4203 Br
0.4022 0.5978 0.7500 Br
0.4058 0.8367 0.1514 Br
0.5942 0.1633 0.8486 Br
0.5978 0.4022 0.2500 Br
0.7542 0.9159 0.5797 Br
0.8367 0.4058 0.6514 Br
0.9159 0.7542 0.0797 Br
```

=====

Record 7
The following is a DFT calculation (PBE-GGA) of an optimized crystal structure of KBe2TeBr.

The calculation puts the density of states at the Fermi level at 0.6431 states/eV per atom. The value obtained for the final energy is -1.85 eV/atom. The value obtained for the uncorrected formation energy is 4.10 eV per formula unit.

Geometry as POSCAR:
```
KBe2TeBr
1.0
4.8855 0.0000 0.0000
0.0000 4.8855 0.0000
0.0000 0.0000 6.2155
K Be Te Br
1 2 1 1
direct
0.0000 0.0000 0.0000 K
0.0000 0.5000 0.5000 Be
0.5000 0.0000 0.5000 Be
0.5000 0.5000 0.0000 Te
0.5000 0.5000 0.5000 Br
```

=====

Record 8
The following is a DFT calculation (PBE-GGA) of an optimized crystal structure of KBe2TlBr.

The calculation puts the density of states at the Fermi level at 0.5419 states/eV per atom. The value obtained for the final energy is -1.60 eV/atom. The value obtained for the uncorrected formation energy is 4.57 eV per formula unit.

Geometry as POSCAR:
```
KBe2TlBr
1.0
4.9976 0.0000 0.0000
0.0000 4.9976 0.0000
0.0000 0.0000 6.2285
K Be Tl Br
1 2 1 1
direct
0.0000 0.0000 0.0000 K
0.0000 0.5000 0.5000 Be
0.5000 0.0000 0.5000 Be
0.5000 0.5000 0.0000 Tl
0.5000 0.5000 0.5000 Br
```